No. 1
First-principles (PBE) data for an optimized crystal structure of La5Tl2Ru2, as listed in the Alexandria database.

Computed properties:
**Crystal system**: orthorhombic
**Total energy**: -0.4152 Ry per atom
**Total magnetization**: 0.000 μB/f.u.
**E_form**: -0.32 eV per atom

a b c (Å): 9.3122 9.3122 8.0471
angles (deg): 90.00 90.00 49.66
Last column: nearest neighbours and their distance in Å.
Fractional coordinates of all 18 atoms:
La  0.0000  0.0000  0.0000  4 Ru 3.06-3.10
La  0.0528  0.7198  0.6677  3 Ru 2.92-3.13
La  0.2198  0.5528  0.1677  3 Ru 2.92-3.13
La  0.2802  0.9472  0.6677  3 Ru 2.92-3.13
La  0.4472  0.7802  0.1677  3 Ru 2.92-3.13
La  0.5000  0.5000  0.5000  4 Ru 3.06-3.10
La  0.5528  0.2198  0.8323  3 Ru 2.92-3.13
La  0.7198  0.0528  0.3323  3 Ru 2.92-3.13
La  0.7802  0.4472  0.8323  3 Ru 2.92-3.13
La  0.9472  0.2802  0.3323  3 Ru 2.92-3.13
Tl  0.2197  0.2197  0.0000  7 La 3.38-3.71
Tl  0.2803  0.2803  0.5000  7 La 3.38-3.71
Tl  0.7197  0.7197  0.5000  7 La 3.38-3.71
Tl  0.7803  0.7803  0.0000  7 La 3.38-3.71
Ru  0.1361  0.8639  0.3617  8 La 2.92-3.13, 1 Ru 3.08
Ru  0.3639  0.6361  0.8617  8 La 2.92-3.13, 1 Ru 3.08
Ru  0.6361  0.3639  0.1383  8 La 2.92-3.13, 1 Ru 3.08
Ru  0.8639  0.1361  0.6383  8 La 2.92-3.13, 1 Ru 3.08

---

No. 2
First-principles (PBE) data for an optimized crystal structure of Y3HoTl3, as listed in the Alexandria database.

Computed properties:
**Crystal system**: hexagonal
**Total energy**: -0.3429 Ry per atom
**Total magnetization**: 0.000 μB/f.u.
**E_form**: -0.23 eV per atom

a b c (Å): 9.4013 9.4013 5.2492
angles (deg): 90.00 90.00 120.00
Last column: nearest neighbours and their distance in Å.
Fractional coordinates of all 14 atoms:
Y  0.0021  0.7662  0.2500  4 Tl 3.11-3.35, 4 Y 3.43
Y  0.2338  0.2359  0.2500  4 Tl 3.11-3.35, 4 Y 3.43
Y  0.2359  0.0021  0.7500  4 Tl 3.11-3.35, 4 Y 3.43
Y  0.7641  0.9979  0.2500  4 Tl 3.11-3.35, 4 Y 3.43
Y  0.7662  0.7641  0.7500  4 Tl 3.11-3.35, 4 Y 3.43
Y  0.9979  0.2338  0.7500  4 Tl 3.11-3.35, 4 Y 3.43
Ho  0.3333  0.6667  0.2500  9 Tl 3.40-3.47, 3 Y 3.67
Ho  0.6667  0.3333  0.7500  9 Tl 3.40-3.47, 3 Y 3.67
Tl  0.0718  0.6217  0.7500  4 Y 3.11-3.35, 2 Tl 3.30, 3 Ho 3.40-3.47
Tl  0.3783  0.4501  0.7500  4 Y 3.11-3.35, 2 Tl 3.30, 3 Ho 3.40-3.47
Tl  0.4501  0.0718  0.2500  4 Y 3.11-3.35, 2 Tl 3.30, 3 Ho 3.40-3.47
Tl  0.5499  0.9282  0.7500  4 Y 3.11-3.35, 2 Tl 3.30, 3 Ho 3.40-3.47
Tl  0.6217  0.5499  0.2500  4 Y 3.11-3.35, 2 Tl 3.30, 3 Ho 3.40-3.47
Tl  0.9282  0.3783  0.2500  4 Y 3.11-3.35, 2 Tl 3.30, 3 Ho 3.40-3.47

---

No. 3
First-principles (PBE) data for an optimized crystal structure of SrCaSm, as listed in the Alexandria database.

Computed properties:
**Energy above the most stable polymorph in this dataset**: 0 meV per atom
**Crystal system**: triclinic
**Total energy**: -0.1993 Ry per atom
**Total magnetization**: 0.000 μB/f.u.
**E_form**: 0.09 eV per atom

a b c (Å): 4.0222 7.1326 9.7188
angles (deg): 71.13 89.99 73.70
Last column: nearest neighbours and their distance in Å.
Fractional coordinates of all 6 atoms:
Sr  0.1665  0.1661  0.1255  5 Ca 3.89-4.06, 3 Sm 3.94-4.03, 4 Sr 4.02-4.35
Sr  0.8335  0.8339  0.8745  5 Ca 3.89-4.06, 3 Sm 3.94-4.03, 4 Sr 4.02-4.35
Ca  0.4691  0.5626  0.2533  4 Sm 3.64-3.68, 5 Sr 3.89-4.06, 2 Ca 4.02
Ca  0.5309  0.4374  0.7467  4 Sm 3.64-3.68, 5 Sr 3.89-4.06, 2 Ca 4.02
Sm  0.1538  0.1923  0.5334  2 Sm 3.54-3.55, 4 Ca 3.64-3.68, 2 Sr 3.94-3.95
Sm  0.8462  0.8077  0.4666  2 Sm 3.54-3.55, 4 Ca 3.64-3.68, 2 Sr 3.94-3.95

---

No. 4
First-principles (PBE) data for an optimized crystal structure of ScMn2S3, as listed in the Alexandria database.

Computed properties:
**Crystal system**: monoclinic
**Total energy**: -0.5271 Ry per atom
**Formation energy without anion corrections**: -96.1 kJ per mole of atoms
**Total magnetization**: 8.967 μB/f.u.

a b c (Å): 7.0512 7.0512 8.7727
angles (deg): 105.81 105.81 30.10
Last column: nearest neighbours and their distance in Å.
Fractional coordinates of all 12 atoms:
Sc  0.0000  0.0000  0.0000  6 S 2.61
Sc  0.5000  0.5000  0.5000  6 S 2.58-2.60
Mn  0.1661  0.1661  0.8245  6 S 2.57-2.62
Mn  0.3315  0.3315  0.6729  6 S 2.57-2.64
Mn  0.6685  0.6685  0.3271  6 S 2.57-2.64
Mn  0.8339  0.8339  0.1755  6 S 2.57-2.62
S  0.0301  0.0301  0.3068  3 Mn 2.59-2.60, 3 Sc 2.60-2.61
S  0.3053  0.3053  0.3634  5 Mn 2.57-2.64, 1 Sc 2.58
S  0.3605  0.3605  0.9770  4 Mn 2.58-2.62, 2 Sc 2.61
S  0.6395  0.6395  0.0230  4 Mn 2.58-2.62, 2 Sc 2.61
S  0.6947  0.6947  0.6366  5 Mn 2.57-2.64, 1 Sc 2.58
S  0.9699  0.9699  0.6932  3 Mn 2.59-2.60, 3 Sc 2.60-2.61

---

Number 1: calculated volume 29.55 Å³/atom. Number 2: calculated volume 28.70 Å³/atom. Number 3: calculated volume 42.00 Å³/atom. Number 4: calculated volume 17.49 Å³/atom.